Material: BeAlAg2
Method: DFT, PBE-GGA
State: relaxed

volume: 15.30 A^3/atom
E: -3.087 eV per atom
theoretical density: 6.83 Mg/m³
space-group type: No. 216
distance to the lowest polymorph of the same formula: 140 meV per atom

a b c (Å): 4.4232 4.4232 4.4232
angles (deg): 60.00 60.00 60.00
Sites, in units of the cell vectors:
Al (0.5000, 0.5000, 0.5000)
Ag (0.0000, 0.0000, 0.0000)
Ag (0.7500, 0.7500, 0.7500)
Be (0.2500, 0.2500, 0.2500)